Density functional theory data (PBE+U) for a relaxed Na2TiFeF8 crystal.

POSCAR file:
```
Na2TiFeF8
1.0
5.0491 -0.1435 -0.0029
-0.1268 5.0285 -0.0055
0.0034 0.0080 6.6365
F Fe Na Ti
8 1 2 1
Direct
0.1758 0.8233 0.2122
0.2706 0.2709 0.0000
0.2767 0.2764 0.5000
0.1757 0.8233 0.7879
0.7233 0.7236 0.5000
0.8243 0.1767 0.2121
0.8242 0.1767 0.7878
0.7294 0.7291 0.0000
0.0000 0.0000 0.5000
0.5000 0.5000 0.2554
0.5000 0.5000 0.7446
0.0000 0.0000 0.0000
```

Calculated values
- Space-group type: P2/m
- Electronic total energy: -5.580 eV/atom
- Calculated volume: 168.4 Å³/cell